[1]
Entry from Alexandria: a crystal of NbBPdC2 relaxed with PBEsol (SCAN).

The structure belongs to space group P4/mmm (No. 123); the cell edges are 4.099, 4.099 and 4.284 Å and the angles 90.00°, 90.00° and 90.00°. Symmetry generates all atoms from Nb at (0.000, 0.000, 0.000), B at (0.000, 0.000, 0.500), Pd at (0.500, 0.500, 0.500) and C at (0.000, 0.500, 0.000).

***

[2]
Entry from Alexandria: a crystal of Nd2BC relaxed with PBEsol (SCAN).

The structure belongs to space group C2/m (No. 12); the cell edges are 13.100, 3.600 and 9.463 Å and the angles 90.00°, 131.09° and 90.00°. Symmetry generates all atoms from Nd at (0.060, 0.000, 0.360), Nd at (0.207, 0.500, 0.119), B at (0.076, 0.500, 0.608) and C at (0.127, 0.500, 0.804).

***

Number 1: spin magnetization 0.0 μB/f.u., formation enthalpy at 0 K 2.012 eV per atom. Number 2: spin magnetization 0.0 μB/f.u., formation enthalpy at 0 K -0.401 eV per atom.